No. 1
First-principles (PBE-GGA) data for a geometry-optimized HgW structure, as listed in Alexandria via LeMat-Bulk.

Structure (CIF):
```
data_HgW
_chemical_formula_sum 'Hg6 W6'
_cell_length_a 2.8961
_cell_length_b 2.8961
_cell_length_c 31.5208
_cell_angle_alpha 90.00
_cell_angle_beta 90.00
_cell_angle_gamma 120.00
_symmetry_space_group_name_H-M 'R -3 m'
_symmetry_Int_Tables_number 166
_symmetry_space_group_name_Hall '-R 3 2"'
loop_
_atom_site_label
_atom_site_fract_x
_atom_site_fract_y
_atom_site_fract_z
Hg1 0.0000 0.0000 0.1190
W1 0.0000 0.0000 0.3700
```

Results
Density of states at the Fermi level in states/eV per atom: 1.0243
Formation energy in eV per formula unit: 1.3
Total moment in μB/atom: 0.000

=====

No. 2
First-principles (PBE-GGA) data for a geometry-optimized Co8Si2B structure, as listed in Alexandria via LeMat-Bulk.

Structure (CIF):
```
data_Co8Si2B
_chemical_formula_sum 'Co16 Si4 B2'
_cell_length_a 13.068
_cell_length_b 3.692
_cell_length_c 4.890
_cell_angle_alpha 90.00
_cell_angle_beta 102.45
_cell_angle_gamma 90.00
_symmetry_space_group_name_H-M 'C 1 2/m 1'
_symmetry_Int_Tables_number 12
loop_
_symmetry_equiv_pos_as_xyz
'x,y,z'
'-x,-y,-z'
'-x,y,-z'
'x,-y,z'
'x+1/2,y+1/2,z'
'-x+1/2,-y+1/2,-z'
'-x+1/2,y+1/2,-z'
'x+1/2,-y+1/2,z'
loop_
_atom_site_label
_atom_site_fract_x
_atom_site_fract_y
_atom_site_fract_z
Co1 0.009 0.000 0.266
Co2 0.092 0.500 0.957
Co3 0.145 0.500 0.481
Co4 0.207 0.000 0.803
Si1 0.184 0.000 0.244
B1 0.000 0.500 0.500
```

Results
Density of states at the Fermi level in states/eV per atom: 0.9079
Energy relative to the elements, uncorrected in meV/atom: -209
Total moment in μB/atom: 0.734

=====

No. 3
First-principles (PBE-GGA) data for a geometry-optimized Cs2InSb2O6 structure, as listed in Alexandria via LeMat-Bulk.

Structure (CIF):
```
data_Cs2InSb2O6
_chemical_formula_sum 'Cs6 In3 Sb6 O18'
_cell_length_a 6.3266
_cell_length_b 6.3266
_cell_length_c 20.6577
_cell_angle_alpha 90.00
_cell_angle_beta 90.00
_cell_angle_gamma 120.00
_symmetry_space_group_name_H-M 'R -3 m'
_symmetry_Int_Tables_number 166
_symmetry_space_group_name_Hall '-R 3 2"'
loop_
_atom_site_label
_atom_site_fract_x
_atom_site_fract_y
_atom_site_fract_z
Cs1 0.0000 0.0000 0.2253
In1 0.0000 0.0000 0.0000
Sb1 0.0000 0.0000 0.4225
O1 0.0074 0.5037 0.7298
```

Results
Density of states at the Fermi level in states/eV per atom: 0.1604
Energy relative to the elements, uncorrected in meV/atom: -1314
Total moment in μB/atom: 0.000

=====

No. 4
First-principles (PBE-GGA) data for a geometry-optimized MoPPbS2 structure, as listed in Alexandria via LeMat-Bulk.

Structure (CIF):
```
data_MoPPbS2
_chemical_formula_sum 'Mo1 P1 Pb1 S2'
_cell_length_a 5.142
_cell_length_b 5.142
_cell_length_c 5.146
_cell_angle_alpha 90.00
_cell_angle_beta 90.00
_cell_angle_gamma 90.00
_symmetry_space_group_name_H-M 'P 4/m m m'
_symmetry_Int_Tables_number 123
_symmetry_space_group_name_Hall '-P 4 2'
loop_
_atom_site_label
_atom_site_fract_x
_atom_site_fract_y
_atom_site_fract_z
Mo1 0.000 0.000 0.000
P1 0.500 0.500 0.000
Pb1 0.500 0.500 0.500
S1 0.000 0.500 0.500
```

Results
Density of states at the Fermi level in states/eV per atom: 0.7861
Energy relative to the elements, uncorrected in meV/atom: 1432
Total moment in μB/atom: 0.502

=====

No. 5
First-principles (PBE-GGA) data for a geometry-optimized NdDyLuAg structure, as listed in Alexandria via LeMat-Bulk.

Structure (CIF):
```
data_NdDyLuAg
_chemical_formula_sum 'Nd4 Dy4 Lu4 Ag4'
_cell_length_a 7.638
_cell_length_b 7.638
_cell_length_c 7.638
_cell_angle_alpha 90.00
_cell_angle_beta 90.00
_cell_angle_gamma 90.00
_symmetry_space_group_name_H-M 'F -4 3 m'
_symmetry_Int_Tables_number 216
_symmetry_space_group_name_Hall 'F -4 2 3'
loop_
_atom_site_label
_atom_site_fract_x
_atom_site_fract_y
_atom_site_fract_z
Nd1 0.000 0.000 0.000
Dy1 0.000 0.000 0.500
Lu1 0.250 0.250 0.750
Ag1 0.250 0.250 0.250
```

Results
Density of states at the Fermi level in states/eV per atom: 0.8389
Formation energy in eV per formula unit: 0.2
Total moment in μB/atom: 0.000

=====

No. 6
First-principles (PBE-GGA) data for a geometry-optimized TlFe2Co structure, as listed in Alexandria via LeMat-Bulk.

Structure (CIF):
```
data_TlFe2Co
_chemical_formula_sum 'Tl1 Fe2 Co1'
_cell_length_a 2.955
_cell_length_b 3.347
_cell_length_c 5.985
_cell_angle_alpha 90.00
_cell_angle_beta 90.00
_cell_angle_gamma 90.00
_symmetry_space_group_name_H-M 'P m m m'
_symmetry_Int_Tables_number 47
loop_
_symmetry_equiv_pos_as_xyz
'x,y,z'
'-x,-y,-z'
'-x,-y,z'
'x,y,-z'
'x,-y,-z'
'-x,y,z'
'-x,y,-z'
'x,-y,z'
loop_
_atom_site_label
_atom_site_fract_x
_atom_site_fract_y
_atom_site_fract_z
Tl1 0.000 0.000 0.000
Fe1 0.500 0.500 0.306
Co1 0.000 0.000 0.500
```

Results
Density of states at the Fermi level in states/eV per atom: 0.8367
Formation energy in eV per formula unit: 1.5
Total moment in μB/atom: 1.747

=====

No. 7
First-principles (PBE-GGA) data for a geometry-optimized Rb3Ce2CrS6 structure, as listed in Alexandria via LeMat-Bulk.

Structure (CIF):
```
data_Rb3Ce2CrS6
_chemical_formula_sum 'Rb6 Ce4 Cr2 S12'
_cell_length_a 7.157
_cell_length_b 12.059
_cell_length_c 8.038
_cell_angle_alpha 90.00
_cell_angle_beta 107.93
_cell_angle_gamma 90.00
_symmetry_space_group_name_H-M 'C 1 2/m 1'
_symmetry_Int_Tables_number 12
loop_
_symmetry_equiv_pos_as_xyz
'x,y,z'
'-x,-y,-z'
'-x,y,-z'
'x,-y,z'
'x+1/2,y+1/2,z'
'-x+1/2,-y+1/2,-z'
'-x+1/2,y+1/2,-z'
'x+1/2,-y+1/2,z'
loop_
_atom_site_label
_atom_site_fract_x
_atom_site_fract_y
_atom_site_fract_z
Rb1 0.000 0.000 0.000
Rb2 0.000 0.331 0.000
Ce1 0.000 0.166 0.500
Cr1 0.000 0.500 0.500
S1 0.214 0.347 0.682
S2 0.231 0.000 0.702
```

Results
Density of states at the Fermi level in states/eV per atom: 0.8478
Energy relative to the elements, uncorrected in meV/atom: -1424
Total moment in μB/atom: 0.417

=====

No. 8
First-principles (PBE-GGA) data for a geometry-optimized Er4TlAg structure, as listed in Alexandria via LeMat-Bulk.

Structure (CIF):
```
data_Er4TlAg
_chemical_formula_sum 'Er4 Tl1 Ag1'
_cell_length_a 5.001
_cell_length_b 5.001
_cell_length_c 7.325
_cell_angle_alpha 90.00
_cell_angle_beta 90.00
_cell_angle_gamma 90.00
_symmetry_space_group_name_H-M 'P 4/m m m'
_symmetry_Int_Tables_number 123
_symmetry_space_group_name_Hall '-P 4 2'
loop_
_atom_site_label
_atom_site_fract_x
_atom_site_fract_y
_atom_site_fract_z
Er1 0.000 0.500 0.237
Tl1 0.000 0.000 0.500
Ag1 0.500 0.500 0.000
```

Results
Density of states at the Fermi level in states/eV per atom: 0.9533
Formation energy in eV per formula unit: 0.0
Total moment in μB/atom: 0.000

=====

No. 9
First-principles (PBE-GGA) data for a geometry-optimized Sc2MoBr structure, as listed in Alexandria via LeMat-Bulk.

Structure (CIF):
```
data_Sc2MoBr
_chemical_formula_sum 'Sc2 Mo1 Br1'
_cell_length_a 3.076
_cell_length_b 3.076
_cell_length_c 9.987
_cell_angle_alpha 90.00
_cell_angle_beta 90.00
_cell_angle_gamma 90.00
_symmetry_space_group_name_H-M 'P 4 m m'
_symmetry_Int_Tables_number 99
loop_
_symmetry_equiv_pos_as_xyz
'x,y,z'
'-y,x,z'
'-x,-y,z'
'y,-x,z'
'-x,y,z'
'y,x,z'
'x,-y,z'
'-y,-x,z'
loop_
_atom_site_label
_atom_site_fract_x
_atom_site_fract_y
_atom_site_fract_z
Sc1 0.000 0.000 0.000
Sc2 0.500 0.500 0.268
Mo1 0.500 0.500 0.803
Br1 0.000 0.000 0.441
```

Results
Density of states at the Fermi level in states/eV per atom: 0.8608
Energy relative to the elements, uncorrected in meV/atom: 170
Total moment in μB/atom: 0.093

=====

No. 10
First-principles (PBE-GGA) data for a geometry-optimized Sm4Ag3Au5 structure, as listed in Alexandria via LeMat-Bulk.

Structure (CIF):
```
data_Sm4Ag3Au5
_chemical_formula_sum 'Sm8 Ag6 Au10'
_cell_length_a 16.974
_cell_length_b 5.111
_cell_length_c 7.110
_cell_angle_alpha 90.00
_cell_angle_beta 111.48
_cell_angle_gamma 90.00
_symmetry_space_group_name_H-M 'C 1 2/m 1'
_symmetry_Int_Tables_number 12
loop_
_symmetry_equiv_pos_as_xyz
'x,y,z'
'-x,-y,-z'
'-x,y,-z'
'x,-y,z'
'x+1/2,y+1/2,z'
'-x+1/2,-y+1/2,-z'
'-x+1/2,y+1/2,-z'
'x+1/2,-y+1/2,z'
loop_
_atom_site_label
_atom_site_fract_x
_atom_site_fract_y
_atom_site_fract_z
Sm1 0.100 0.000 0.441
Sm2 0.192 0.500 0.132
Ag1 0.000 0.000 0.000
Ag2 0.067 0.500 0.681
Au1 0.000 0.500 0.000
Au2 0.137 0.000 0.883
Au3 0.224 0.500 0.585
```

Results
Density of states at the Fermi level in states/eV per atom: 0.4928
Formation energy in eV per formula unit: -5.8
Total moment in μB/atom: 0.000

=====

No. 11
First-principles (PBE-GGA) data for a geometry-optimized Co2TeW structure, as listed in Alexandria via LeMat-Bulk.

Structure (CIF):
```
data_Co2TeW
_chemical_formula_sum 'Co2 Te1 W1'
_cell_length_a 3.199
_cell_length_b 3.199
_cell_length_c 5.806
_cell_angle_alpha 90.00
_cell_angle_beta 90.00
_cell_angle_gamma 90.00
_symmetry_space_group_name_H-M 'P 4 m m'
_symmetry_Int_Tables_number 99
loop_
_symmetry_equiv_pos_as_xyz
'x,y,z'
'-y,x,z'
'-x,-y,z'
'y,-x,z'
'-x,y,z'
'y,x,z'
'x,-y,z'
'-y,-x,z'
loop_
_atom_site_label
_atom_site_fract_x
_atom_site_fract_y
_atom_site_fract_z
Co1 0.000 0.000 0.000
Co2 0.500 0.500 0.221
Te1 0.000 0.000 0.453
W1 0.500 0.500 0.793
```

Results
Density of states at the Fermi level in states/eV per atom: 1.0470
Energy relative to the elements, uncorrected in meV/atom: 456
Total moment in μB/atom: 0.037

=====

No. 12
First-principles (PBE-GGA) data for a geometry-optimized AlZnTc2 structure, as listed in Alexandria via LeMat-Bulk.

Structure (CIF):
```
data_AlZnTc2
_chemical_formula_sum 'Al2 Zn2 Tc4'
_cell_length_a 9.284
_cell_length_b 2.988
_cell_length_c 4.393
_cell_angle_alpha 90.00
_cell_angle_beta 110.18
_cell_angle_gamma 90.00
_symmetry_space_group_name_H-M 'C 1 m 1'
_symmetry_Int_Tables_number 8
loop_
_symmetry_equiv_pos_as_xyz
'x,y,z'
'x,-y,z'
'x+1/2,y+1/2,z'
'x+1/2,-y+1/2,z'
loop_
_atom_site_label
_atom_site_fract_x
_atom_site_fract_y
_atom_site_fract_z
Al1 0.000 0.000 0.000
Zn1 0.247 0.000 0.736
Tc1 0.247 0.500 0.238
Tc2 0.493 0.000 0.498
```

Results
Density of states at the Fermi level in states/eV per atom: 0.6502
Formation energy in eV per formula unit: -0.3
Total moment in μB/atom: 0.000